Record 1
# Co2ReSi, optimized geometry, DFT GGA-PBE
# * raw formation energy: -0.1179 eV per atom
# * VASP energy: -8.139 eV/atom
# * total magnetic moment: 0.0971 μB per atom
data_Co2ReSi
_chemical_formula_sum 'Co4 Re2 Si2'
_cell_length_a 2.7345
_cell_length_b 4.1485
_cell_length_c 8.4740
_cell_angle_alpha 90.00
_cell_angle_beta 90.00
_cell_angle_gamma 90.00
_space_group_name_H-M_alt 'I m m 2'
_space_group_IT_number 44
_space_group_name_Hall 'I 2 -2'
loop_
_atom_site_label
_atom_site_type_symbol
_atom_site_fract_x
_atom_site_fract_y
_atom_site_fract_z
Co1 Co 0.0000 0.0000 0.0000
Co2 Co 0.0000 0.5000 0.2169
Re1 Re 0.0000 0.5000 0.7646
Si1 Si 0.0000 0.0000 0.5084

---

Record 2
# CoReSi, optimized geometry, DFT GGA-PBE
# * raw formation energy: -0.1411 eV per atom
# * polymorph energy (0 for the lowest one): 12.8 meV per atom
# * VASP energy: -8.467 eV/atom
# * total magnetic moment: 0.2344 μB per atom
data_CoReSi
_chemical_formula_sum 'Co2 Re2 Si2'
_cell_length_a 2.8500
_cell_length_b 2.8500
_cell_length_c 9.0742
_cell_angle_alpha 90.00
_cell_angle_beta 90.00
_cell_angle_gamma 90.00
_space_group_name_H-M_alt 'I 4 m m'
_space_group_IT_number 107
_space_group_name_Hall 'I 4 -2'
loop_
_atom_site_label
_atom_site_type_symbol
_atom_site_fract_x
_atom_site_fract_y
_atom_site_fract_z
Co1 Co 0.0000 0.0000 0.0000
Re1 Re 0.0000 0.0000 0.6907
Si1 Si 0.0000 0.0000 0.3641

---

Record 3
# CoRe4Si, optimized geometry, DFT GGA-PBE
# * raw formation energy: 0.8038 eV per atom
# * VASP energy: -9.583 eV/atom
# * total magnetic moment: 0.3037 μB per atom
data_CoRe4Si
_chemical_formula_sum 'Co4 Re16 Si4'
_cell_length_a 7.2386
_cell_length_b 7.2386
_cell_length_c 7.2386
_cell_angle_alpha 90.00
_cell_angle_beta 90.00
_cell_angle_gamma 90.00
_space_group_name_H-M_alt 'F -4 3 m'
_space_group_IT_number 216
_space_group_name_Hall 'F -4 2 3'
loop_
_atom_site_label
_atom_site_type_symbol
_atom_site_fract_x
_atom_site_fract_y
_atom_site_fract_z
Co1 Co 0.0000 0.0000 0.0000
Re1 Re 0.1253 0.1253 0.3747
Si1 Si 0.2500 0.2500 0.7500

---

Record 4
# Co6ReSi, optimized geometry, DFT GGA-PBE
# * raw formation energy: -0.1376 eV per atom
# * VASP energy: -7.701 eV/atom
# * total magnetic moment: 0.0002 μB per atom
data_Co6ReSi
_chemical_formula_sum 'Co48 Re8 Si8'
_cell_length_a 7.0410
_cell_length_b 9.9888
_cell_length_c 9.9852
_cell_angle_alpha 90.00
_cell_angle_beta 90.00
_cell_angle_gamma 90.00
_space_group_name_H-M_alt 'C m m m'
_space_group_IT_number 65
_space_group_name_Hall '-C 2 2'
loop_
_atom_site_label
_atom_site_type_symbol
_atom_site_fract_x
_atom_site_fract_y
_atom_site_fract_z
Co1 Co 0.0000 0.0000 0.0000
Co2 Co 0.0000 0.0000 0.5000
Co3 Co 0.0000 0.2497 0.2487
Co4 Co 0.0000 0.5000 0.0000
Co5 Co 0.0000 0.5000 0.5000
Co6 Co 0.2477 0.1244 0.3744
Co7 Co 0.2488 0.1246 0.1240
Re1 Re 0.0000 0.2546 0.5000
Re2 Re 0.0000 0.5000 0.2449
Si1 Si 0.0000 0.0000 0.2439
Si2 Si 0.0000 0.2545 0.0000

---

Record 5
# Co2ReSi, optimized geometry, DFT GGA-PBE
# * raw formation energy: -0.2548 eV per atom
# * VASP energy: -8.276 eV/atom
# * total magnetic moment: 0.2688 μB per atom
data_Co2ReSi
_chemical_formula_sum 'Co2 Re1 Si1'
_cell_length_a 2.6732
_cell_length_b 2.6732
_cell_length_c 6.5035
_cell_angle_alpha 90.00
_cell_angle_beta 90.00
_cell_angle_gamma 90.00
_space_group_name_H-M_alt 'P 4/m m m'
_space_group_IT_number 123
_space_group_name_Hall '-P 4 2'
loop_
_atom_site_label
_atom_site_type_symbol
_atom_site_fract_x
_atom_site_fract_y
_atom_site_fract_z
Co1 Co 0.0000 0.0000 0.2125
Re1 Re 0.5000 0.5000 0.5000
Si1 Si 0.5000 0.5000 0.0000

---

Record 6
# Co2ReSi, optimized geometry, DFT GGA-PBE
# * raw formation energy: -0.1025 eV per atom
# * VASP energy: -8.123 eV/atom
# * total magnetic moment: 0.2693 μB per atom
data_Co2ReSi
_chemical_formula_sum 'Co4 Re2 Si2'
_cell_length_a 3.8077
_cell_length_b 2.6476
_cell_length_c 9.5692
_cell_angle_alpha 90.00
_cell_angle_beta 90.00
_cell_angle_gamma 90.00
_space_group_name_H-M_alt 'A m m 2'
_space_group_IT_number 38
_space_group_name_Hall 'A 2 -2'
loop_
_atom_site_label
_atom_site_type_symbol
_atom_site_fract_x
_atom_site_fract_y
_atom_site_fract_z
Co1 Co 0.0000 0.0000 0.0000
Co2 Co 0.5000 0.0000 0.3822
Re1 Re 0.5000 0.0000 0.6354
Si1 Si 0.0000 0.0000 0.2604